No. 1
La3Sm2Ho2 after structural relaxation. Source: the Alexandria database, functional PBE-GGA.

It has space group C2/m (No. 12), with a = 17.867 Å, b = 3.547 Å, c = 8.681 Å, α = 90.00°, β = 118.66° and γ = 90.00°. The distinct sites, in fractional coordinates, are La at (0.000, 0.000, 0.000), La at (0.213, 0.000, 0.294), Sm at (0.064, 0.500, 0.412) and Ho at (0.144, 0.000, 0.827).

The total magnetization is 0.00 Bohr magnetons per cell. Its calculated formation energy is 0.112 eV per atom.

=====

No. 2
Pm6Si3C2 after structural relaxation. Source: the Alexandria database, functional PBE-GGA.

It has space group I4/mmm (No. 139), with a = 4.847 Å, b = 4.847 Å, c = 23.823 Å, α = 90.00°, β = 90.00° and γ = 90.00°. The distinct sites, in fractional coordinates, are Pm at (0.000, 0.000, 0.202), Pm at (0.000, 0.500, 0.083), Si at (0.000, 0.000, 0.328), Si at (0.000, 0.000, 0.500) and C at (0.000, 0.000, 0.105).

The total magnetization is 0.00 Bohr magnetons per cell. The uncorrected formation energy comes out at -0.2645 eV per atom.

=====

no.,uncorrected energy (eV per cell)
1,-65.184
2,-132.260